# Sm3NbO7 PBE relaxed
# energy above the lowest structure with this stoichiometry	0.00	eV per formula unit
# crystal system	orthorhombic
# VASP energy	-8.603	eV per atom
# energy relative to the elements, uncorrected	-3.25	eV per atom
data_Sm3NbO7
_chemical_formula_sum 'Sm12 Nb4 O28'
_space_group_name_H-M_alt 'C 2 2 21'
_space_group_IT_number 20
_cell_length_a 7.765
_cell_length_b 10.793
_cell_length_c 7.633
_cell_angle_alpha 90.00
_cell_angle_beta 90.00
_cell_angle_gamma 90.00
loop_
_space_group_symop_operation_xyz
'x,y,z'
'-x,-y,z+1/2'
'x,-y,-z'
'-x,y,-z+1/2'
'x+1/2,y+1/2,z'
'-x+1/2,-y+1/2,z+1/2'
'x+1/2,-y+1/2,-z'
'-x+1/2,y+1/2,-z+1/2'
loop_
_atom_site_label
_atom_site_fract_x
_atom_site_fract_y
_atom_site_fract_z
_atom_site_occupancy
Sm1 0.040 0.000 0.000 1
Sm2 0.232 0.269 0.761 1
Nb1 0.002 0.500 0.000 1
O1 0.000 0.129 0.250 1
O2 0.000 0.139 0.750 1
O3 0.000 0.434 0.750 1
O4 0.173 0.372 0.046 1
O5 0.205 0.378 0.479 1

---

# Sm5Nb2O12 PBE relaxed
# crystal system	monoclinic
# VASP energy	-8.636	eV per atom
# energy relative to the elements, uncorrected	-3.20	eV per atom
data_Sm5Nb2O12
_chemical_formula_sum 'Sm10 Nb4 O24'
_space_group_name_H-M_alt 'C 1 2/m 1'
_space_group_IT_number 12
_cell_length_a 12.699
_cell_length_b 6.009
_cell_length_c 7.635
_cell_angle_alpha 90.00
_cell_angle_beta 107.51
_cell_angle_gamma 90.00
loop_
_space_group_symop_operation_xyz
'x,y,z'
'-x,-y,-z'
'-x,y,-z'
'x,-y,z'
'x+1/2,y+1/2,z'
'-x+1/2,-y+1/2,-z'
'-x+1/2,y+1/2,-z'
'x+1/2,-y+1/2,z'
loop_
_atom_site_label
_atom_site_fract_x
_atom_site_fract_y
_atom_site_fract_z
_atom_site_occupancy
Sm1 0.000 0.000 0.000 1
Sm2 0.191 0.500 0.327 1
Sm3 0.197 0.500 0.862 1
Nb1 0.000 0.240 0.500 1
O1 0.000 0.000 0.309 1
O2 0.001 0.500 0.311 1
O3 0.155 0.250 0.076 1
O4 0.163 0.265 0.582 1

---

# Sm3NbO7 PBE relaxed
# energy above the lowest structure with this stoichiometry	0.21	eV per formula unit
# crystal system	orthorhombic
# VASP energy	-8.584	eV per atom
# energy relative to the elements, uncorrected	-3.23	eV per atom
data_Sm3NbO7
_chemical_formula_sum 'Sm12 Nb4 O28'
_space_group_name_H-M_alt 'C m c m'
_space_group_IT_number 63
_space_group_name_Hall '-C 2c 2'
_cell_length_a 10.869
_cell_length_b 7.487
_cell_length_c 7.671
_cell_angle_alpha 90.00
_cell_angle_beta 90.00
_cell_angle_gamma 90.00
loop_
_atom_site_label
_atom_site_fract_x
_atom_site_fract_y
_atom_site_fract_z
_atom_site_occupancy
Sm1 0.000 0.000 0.000 1
Sm2 0.227 0.292 0.250 1
Nb1 0.000 0.500 0.000 1
O1 0.000 0.425 0.250 1
O2 0.128 0.309 0.535 1
O3 0.132 0.022 0.250 1

---

# Sm3NbO7 PBE relaxed
# energy above the lowest structure with this stoichiometry	0.03	eV per formula unit
# crystal system	triclinic
# VASP energy	-8.601	eV per atom
# energy relative to the elements, uncorrected	-3.24	eV per atom
data_Sm3NbO7
_chemical_formula_sum 'Sm6 Nb2 O14'
_space_group_name_H-M_alt 'P -1'
_space_group_IT_number 2
_cell_length_a 6.508
_cell_length_b 6.638
_cell_length_c 7.755
_cell_angle_alpha 73.24
_cell_angle_beta 89.77
_cell_angle_gamma 82.88
loop_
_space_group_symop_operation_xyz
'x,y,z'
'-x,-y,-z'
loop_
_atom_site_label
_atom_site_fract_x
_atom_site_fract_y
_atom_site_fract_z
_atom_site_occupancy
Sm1 0.048 0.007 0.250 1
Sm2 0.238 0.545 0.108 1
Sm3 0.239 0.536 0.617 1
Nb1 0.500 0.000 0.000 1
Nb2 0.500 0.000 0.500 1
O1 0.044 0.637 0.841 1
O2 0.058 0.650 0.336 1
O3 0.210 0.929 0.549 1
O4 0.211 0.930 0.985 1
O5 0.420 0.034 0.241 1
O6 0.422 0.319 0.444 1
O7 0.423 0.326 0.899 1

---

# Sm2NbO PBE relaxed
# crystal system	trigonal
# VASP energy	-6.861	eV per atom
# energy relative to the elements, uncorrected	-0.74	eV per atom
data_Sm2NbO
_chemical_formula_sum 'Sm6 Nb3 O3'
_space_group_name_H-M_alt 'R -3 m'
_space_group_IT_number 166
_space_group_name_Hall '-R 3 2"'
_cell_length_a 3.3341
_cell_length_b 3.3341
_cell_length_c 26.8239
_cell_angle_alpha 90.00
_cell_angle_beta 90.00
_cell_angle_gamma 120.00
loop_
_atom_site_label
_atom_site_fract_x
_atom_site_fract_y
_atom_site_fract_z
_atom_site_occupancy
Sm1 0.0000 0.0000 0.1108 1
Nb1 0.0000 0.0000 0.0000 1
O1 0.0000 0.0000 0.5000 1

---

# Nb2SnO PBE relaxed
# energy above the lowest structure with this stoichiometry	0.00	eV per formula unit
# crystal system	tetragonal
# VASP energy	-7.622	eV per atom
# energy relative to the elements, uncorrected	-0.35	eV per atom
data_Nb2SnO
_chemical_formula_sum 'Nb8 Sn4 O4'
_space_group_name_H-M_alt 'I -4 2 d'
_space_group_IT_number 122
_space_group_name_Hall 'I -4 2bw'
_cell_length_a 5.251
_cell_length_b 5.251
_cell_length_c 11.937
_cell_angle_alpha 90.00
_cell_angle_beta 90.00
_cell_angle_gamma 90.00
loop_
_atom_site_label
_atom_site_fract_x
_atom_site_fract_y
_atom_site_fract_z
_atom_site_occupancy
Nb1 0.103 0.250 0.125 1
Sn1 0.000 0.000 0.500 1
O1 0.000 0.000 0.000 1